Tl2CdTc: relaxed, PBE.

Output
The relative energy among the computed polymorphs is 0.168 eV per atom. As for the energy of formation from the pure elements: 0.62 eV/atom. As for the crystal system: orthorhombic. As for the density of states at the Fermi level: 1.205 states/eV/f.u. The value obtained for the mass density is 12149 kg/m3.

a = 4.289 Å, b = 4.316 Å, c = 9.141 Å
α = 90.00°, β = 90.00°, γ = 90.00°
Space group Immm (No. 71)
Asymmetric unit:
Tl: 0.000 0.000 0.249 [4 per cell]
Cd: 0.000 0.500 0.000 [2 per cell]
Tc: 0.000 0.500 0.500 [2 per cell]



TbPaCdSn: relaxed, PBE.

Output
As for the energy of formation from the pure elements: -0.12 eV/atom. As for the crystal system: cubic. As for the density of states at the Fermi level: 8.602 states/eV/f.u. The value obtained for the mass density is 9711 kg/m3.

a = 7.517 Å, b = 7.517 Å, c = 7.517 Å
α = 90.00°, β = 90.00°, γ = 90.00°
Space group F-43m (No. 216)
Asymmetric unit:
Tb: 0.000 0.000 0.000 [4 per cell]
Pa: 0.000 0.000 0.500 [4 per cell]
Cd: 0.250 0.250 0.750 [4 per cell]
Sn: 0.250 0.250 0.250 [4 per cell]



Ce2I: relaxed, PBE.

Output
Its formation energy (no corrections) is -0.282 eV/atom. As for the crystal system: tetragonal. As for the density of states at the Fermi level: 10.506 states/eV/f.u. The value obtained for the mass density is 7070 kg/m3.

a = 3.637 Å, b = 3.637 Å, c = 14.460 Å
α = 90.00°, β = 90.00°, γ = 90.00°
Space group I4/mmm (No. 139)
Asymmetric unit:
Ce: 0.000 0.000 0.157 [4 per cell]
I: 0.000 0.000 0.500 [2 per cell]



Ce4YTh: relaxed, PBE.

Output
The relative energy among the computed polymorphs is 0.000 eV per atom. As for the energy of formation from the pure elements: 0.09 eV/atom. As for the crystal system: orthorhombic. As for the density of states at the Fermi level: 16.975 states/eV/f.u. The value obtained for the mass density is 8350 kg/m3.

a = 5.565 Å, b = 9.557 Å, c = 6.591 Å
α = 90.00°, β = 90.00°, γ = 90.00°
Space group Cmmm (No. 65)
Asymmetric unit:
Ce: 0.000 0.163 0.209 [8 per cell]
Y: 0.000 0.500 0.500 [2 per cell]
Th: 0.000 0.500 0.000 [2 per cell]